# 1
{
  "formula": "In2PF",
  "functional": "PBE-GGA",
  "state": "relaxed",
  "sg": "I-42d, No. 122",
  "e_form_raw_ev_per_atom": -0.63,
  "cell": [[-1.925, -4.658, -1.251], [-0.698, -1.063, 5.035], [-7.747, -0.117, 1.579]],
  "species": ["P", "P", "F", "F", "In", "In", "In", "In"],
  "frac_coords": [[0.000, 0.000, 0.000], [0.750, 0.250, 0.500], [0.500, 0.500, 0.000], [0.250, 0.750, 0.500], [0.580, 0.125, 0.250], [0.170, 0.625, 0.250], [0.375, 0.420, 0.750], [0.875, 0.830, 0.750]]
}

# 2
{
  "formula": "InPF5",
  "functional": "PBE-GGA",
  "state": "relaxed",
  "sg": "Cm, No. 8",
  "e_form_raw_ev_per_atom": -2.06,
  "cell": [[-6.369, -3.766, 3.304], [-4.309, -6.195, 2.949], [6.611, 4.670, 6.382]],
  "species": ["In", "In", "P", "P", "F", "F", "F", "F", "F", "F", "F", "F", "F", "F"],
  "frac_coords": [[0.211, 0.211, 0.351], [0.710, 0.709, 0.844], [0.974, 0.974, 0.951], [0.472, 0.473, 0.436], [0.069, 0.068, 0.243], [0.728, 0.728, 0.494], [0.567, 0.567, 0.721], [0.734, 0.734, 0.238], [0.880, 0.880, 0.985], [0.219, 0.218, 0.984], [0.240, 0.240, 0.741], [0.403, 0.405, 0.261], [0.381, 0.382, 0.478], [0.912, 0.911, 0.775]]
}

Number 1 is which compound? In2PF